Entry from Alexandria via LeMat-Bulk: a relaxed structure of ZrFeCo2B (PBE-GGA).

Geometry as POSCAR:
```
ZrFeCo2B
1.0
-2.404 -1.499 2.627
2.952 -0.429 2.456
-0.671 3.587 1.433
B Co Fe Zr
1 2 1 1
Cartesian
0.000 0.000 0.000
1.476 -0.215 1.228
-1.202 -0.750 1.313
-0.335 1.793 0.717
-0.062 0.829 3.258
```

Computed properties:
Total magnetization = 1.00 μB per cell
Energy of formation = -0.35 eV/atom
E_tot = -7.9320 eV/atom
SG = No. 123